Entry 1:
First-principles (GGA-PBE) data for ZnGeAsIrAu after structural relaxation, as listed in the Alexandria database.

## Properties
Its formation energy from the elements is -0.0319 eV per atom. As for the offset from the most stable computed form: 8.1 kJ/mol of atoms. The calculation puts the total energy at -22.8 eV for the cell shown.

a b c (Å): 4.797 4.797 5.766
angles (deg): 103.00 103.00 48.82
Positions (direct):
1 Zn 0.000 0.000 0.000
2 Ge 0.349 0.349 0.316
3 As 0.644 0.644 0.477
4 Ir 0.727 0.727 0.098
5 Au 0.232 0.232 0.756

Entry 2:
First-principles (GGA-PBE) data for TbEuTc4 after structural relaxation, as listed in the Alexandria database.

## Properties
Its formation energy from the elements is 0.0631 eV per atom. The calculation puts the total energy at -56.0 eV for the cell shown.

a b c (Å): 5.436 5.436 5.436
angles (deg): 60.00 60.00 60.00
Positions (direct):
1 Tb 0.000 0.000 0.000
2 Eu 0.750 0.750 0.750
3 Tc 0.375 0.375 0.375
4 Tc 0.375 0.375 0.875
5 Tc 0.375 0.875 0.375
6 Tc 0.875 0.375 0.375

Entry 3:
First-principles (GGA-PBE) data for BaPa2AuS8 after structural relaxation, as listed in the Alexandria database.

## Properties
The calculation puts the formation energy from raw total energies at -0.99 eV/atom. The calculation puts the total energy at -69.1 eV for the cell shown.

a b c (Å): 6.304 6.304 8.222
angles (deg): 90.00 90.00 120.00
Positions (direct):
1 Ba 0.000 0.000 0.000
2 Pa 0.333 0.667 0.389
3 Pa 0.667 0.333 0.611
4 Au 0.000 0.000 0.500
5 S 0.181 0.362 0.668
6 S 0.181 0.819 0.668
7 S 0.333 0.667 0.091
8 S 0.362 0.181 0.332
9 S 0.638 0.819 0.668
10 S 0.667 0.333 0.909
11 S 0.819 0.181 0.332
12 S 0.819 0.638 0.332